Entry 1:
VASP calculation (PBE-GGA) on a geometry-optimized PmTmHf structure.

Cell: 4.705 3.399 11.502 Å, 90.00 65.83 90.00°
Positions (direct):
Tm: 0.203 0.392 0.938
Tm: 0.251 0.892 0.390
Pm: 0.572 0.392 0.569
Pm: 0.882 0.892 0.759
Hf: 0.547 0.892 0.094
Hf: 0.907 0.392 0.234

ΔH_f (0 K), kJ/mol of formula units: 36
Space-group type: No. 59
D(E_F), states/eV/atom: 1.38
Size of the total moment, μB/cell: 0.0

---

Entry 2:
VASP calculation (PBE-GGA) on a geometry-optimized PmTm2Hf structure.

Cell: 3.934 3.934 7.532 Å, 90.00 90.00 90.00°
Positions (direct):
Tm: 0.000 0.000 0.216
Tm: 0.000 0.000 0.784
Hf: 0.500 0.500 0.000
Pm: 0.500 0.500 0.500

ΔH_f (0 K), kJ/mol of formula units: 82
Space-group type: No. 123
D(E_F), states/eV/atom: 2.14
Size of the total moment, μB/cell: 0.0

---

Entry 3:
VASP calculation (PBE-GGA) on a geometry-optimized PmTm2Hf structure.

Cell: 4.850 4.833 4.833 Å, 90.00 90.00 90.00°
Positions (direct):
Tm: 0.000 0.000 0.500
Tm: 0.000 0.500 0.000
Pm: 0.500 0.000 0.000
Hf: 0.500 0.500 0.500

ΔH_f (0 K), kJ/mol of formula units: 57
Space-group type: No. 123
D(E_F), states/eV/atom: 1.44
Size of the total moment, μB/cell: 0.0

---

Entry 4:
VASP calculation (PBE-GGA) on a geometry-optimized PmTmHf structure.

Cell: 3.353 3.353 7.902 Å, 102.25 102.25 90.00°
Positions (direct):
Tm: 0.319 0.319 0.639
Hf: 0.671 0.671 0.342
Pm: 0.009 0.009 0.019

ΔH_f (0 K), kJ/mol of formula units: 38
Space-group type: No. 107
D(E_F), states/eV/atom: 1.46
Size of the total moment, μB/cell: 0.0

---

Entry 5:
VASP calculation (PBE-GGA) on a geometry-optimized PmTm2Hf structure.

Cell: 3.429 3.429 11.369 Å, 81.33 81.33 60.00°
Positions (direct):
Tm: 0.077 0.077 0.769
Tm: 0.256 0.256 0.231
Pm: 0.500 0.500 0.499
Hf: 0.666 0.666 0.001

ΔH_f (0 K), kJ/mol of formula units: 40
Space-group type: No. 160
D(E_F), states/eV/atom: 1.46
Size of the total moment, μB/cell: 0.0

---

Entry 6:
VASP calculation (PBE-GGA) on a geometry-optimized PmHfV4 structure.

Cell: 5.277 5.277 5.277 Å, 60.00 60.00 60.00°
Positions (direct):
V: 0.627 0.120 0.627
V: 0.627 0.627 0.627
V: 0.120 0.627 0.627
V: 0.627 0.627 0.120
Pm: 0.250 0.250 0.250
Hf: 0.000 0.000 0.000

ΔH_f (0 K), kJ/mol of formula units: 147
Space-group type: No. 216
D(E_F), states/eV/atom: 0.84
Size of the total moment, μB/cell: 0.0

---

Entry 7:
VASP calculation (PBE-GGA) on a geometry-optimized PmHf2V structure.

Cell: 3.333 3.333 8.153 Å, 90.00 90.00 90.00°
Positions (direct):
Pm: 0.500 0.500 0.500
Hf: 0.000 0.000 0.809
Hf: 0.000 0.000 0.191
V: 0.500 0.500 0.000

ΔH_f (0 K), kJ/mol of formula units: 78
Space-group type: No. 123
D(E_F), states/eV/atom: 1.50
Size of the total moment, μB/cell: 0.0

---

Entry 8:
VASP calculation (PBE-GGA) on a geometry-optimized Pm2YHf structure.

Cell: 3.484 3.484 11.586 Å, 81.35 81.35 60.00°
Positions (direct):
Pm: 0.078 0.078 0.766
Pm: 0.256 0.256 0.233
Y: 0.499 0.499 0.502
Hf: 0.667 0.667 0.999

ΔH_f (0 K), kJ/mol of formula units: 61
Space-group type: No. 160
D(E_F), states/eV/atom: 1.45
Size of the total moment, μB/cell: 0.0

---

Entry 9:
VASP calculation (PBE-GGA) on a geometry-optimized Pm2YHf structure.

Cell: 3.384 3.384 12.329 Å, 82.11 82.11 60.00°
Positions (direct):
Y: 0.500 0.500 0.500
Pm: 0.085 0.085 0.745
Pm: 0.915 0.915 0.255
Hf: 0.000 0.000 0.000

ΔH_f (0 K), kJ/mol of formula units: 148
Space-group type: No. 166
D(E_F), states/eV/atom: 1.40
Size of the total moment, μB/cell: 0.0

---

Entry 10:
VASP calculation (PBE-GGA) on a geometry-optimized Pm2YHf structure.

Cell: 4.039 4.039 7.369 Å, 90.00 90.00 90.00°
Positions (direct):
Hf: 0.500 0.500 0.000
Pm: 0.000 0.000 0.778
Pm: 0.000 0.000 0.222
Y: 0.500 0.500 0.500

ΔH_f (0 K), kJ/mol of formula units: 82
Space-group type: No. 123
D(E_F), states/eV/atom: 1.26
Size of the total moment, μB/cell: 0.0

---

Entry 11:
VASP calculation (PBE-GGA) on a geometry-optimized Pm2YHf structure.

Cell: 4.869 4.947 4.947 Å, 90.00 90.00 90.00°
Positions (direct):
Pm: 0.000 0.000 0.500
Pm: 0.000 0.500 0.000
Y: 0.500 0.000 0.000
Hf: 0.500 0.500 0.500

ΔH_f (0 K), kJ/mol of formula units: 66
Space-group type: No. 123
D(E_F), states/eV/atom: 1.25
Size of the total moment, μB/cell: 0.0

---

Entry 12:
VASP calculation (PBE-GGA) on a geometry-optimized PmHfZn2 structure.

Cell: 3.411 3.411 9.147 Å, 79.25 79.25 60.00°
Positions (direct):
Zn: 0.257 0.257 0.229
Zn: 0.743 0.743 0.771
Hf: 0.000 0.000 0.000
Pm: 0.500 0.500 0.500

ΔH_f (0 K), kJ/mol of formula units: 5
Space-group type: No. 166
D(E_F), states/eV/atom: 0.83
Size of the total moment, μB/cell: 0.0

---

Entry 13:
VASP calculation (PBE-GGA) on a geometry-optimized PmHfZn structure.

Cell: 3.362 3.362 6.623 Å, 104.70 104.70 90.00°
Positions (direct):
Pm: 0.004 0.004 0.008
Hf: 0.313 0.313 0.626
Zn: 0.683 0.683 0.366

ΔH_f (0 K), kJ/mol of formula units: -21
Space-group type: No. 107
D(E_F), states/eV/atom: 0.42
Size of the total moment, μB/cell: 0.0

---

Entry 14:
VASP calculation (PBE-GGA) on a geometry-optimized PmHf2Zn structure.

Cell: 3.161 3.161 11.023 Å, 81.76 81.76 60.00°
Positions (direct):
Zn: 0.500 0.500 0.500
Hf: 0.099 0.099 0.704
Hf: 0.901 0.901 0.296
Pm: 0.000 0.000 0.000

ΔH_f (0 K), kJ/mol of formula units: 115
Space-group type: No. 166
D(E_F), states/eV/atom: 1.06
Size of the total moment, μB/cell: 0.0

---

Entry 15:
VASP calculation (PBE-GGA) on a geometry-optimized PmHf2Zn9 structure.

Cell: 5.293 5.293 8.948 Å, 72.80 72.80 60.00°
Each line ends with the local moment (μB).
Positions (direct):
Pm: 0.000 0.000 0.000  0.05
Zn: 0.590 0.590 0.741  0.02
Zn: 0.500 0.500 0.500  0.00
Zn: 0.336 0.336 0.993  0.01
Zn: 0.590 0.078 0.741  0.02
Zn: 0.410 0.410 0.259  0.02
Zn: 0.922 0.410 0.259  0.02
Zn: 0.664 0.664 0.007  0.01
Zn: 0.078 0.590 0.741  0.02
Zn: 0.410 0.922 0.259  0.02
Hf: 0.855 0.855 0.434  0.41
Hf: 0.145 0.145 0.566  0.41

ΔH_f (0 K), kJ/mol of formula units: -294
Space-group type: No. 166
D(E_F), states/eV/atom: 0.69
Size of the total moment, μB/cell: 1.5

---

Entry 16:
VASP calculation (PBE-GGA) on a geometry-optimized PmHfZn2 structure.

Cell: 3.451 3.451 7.040 Å, 90.00 90.00 90.00°
Positions (direct):
Pm: 0.500 0.500 0.500
Hf: 0.500 0.500 0.000
Zn: 0.000 0.000 0.211
Zn: 0.000 0.000 0.789

ΔH_f (0 K), kJ/mol of formula units: -82
Space-group type: No. 123
D(E_F), states/eV/atom: 0.91
Size of the total moment, μB/cell: 0.0

---

Entry 17:
VASP calculation (PBE-GGA) on a geometry-optimized PmHfZn2 structure.

Cell: 4.921 4.921 4.921 Å, 60.00 60.00 60.00°
Positions (direct):
Pm: 0.000 0.000 0.000
Hf: 0.500 0.500 0.500
Zn: 0.250 0.250 0.250
Zn: 0.750 0.750 0.750

ΔH_f (0 K), kJ/mol of formula units: -51
Space-group type: No. 225
D(E_F), states/eV/atom: 1.37
Size of the total moment, μB/cell: 0.0

---

Entry 18:
VASP calculation (PBE-GGA) on a geometry-optimized PmHfZr2 structure.

Cell: 3.795 3.795 7.091 Å, 90.00 90.00 90.00°
Positions (direct):
Zr: 0.000 0.000 0.208
Zr: 0.000 0.000 0.792
Hf: 0.500 0.500 0.000
Pm: 0.500 0.500 0.500

ΔH_f (0 K), kJ/mol of formula units: 53
Space-group type: No. 123
D(E_F), states/eV/atom: 1.31
Size of the total moment, μB/cell: 0.0

---

Entry 19:
VASP calculation (PBE-GGA) on a geometry-optimized PmHfZr2 structure.

Cell: 4.606 4.658 4.658 Å, 90.00 90.00 90.00°
Positions (direct):
Zr: 0.000 0.500 0.000
Zr: 0.000 0.000 0.500
Pm: 0.500 0.500 0.500
Hf: 0.500 0.000 0.000

ΔH_f (0 K), kJ/mol of formula units: 74
Space-group type: No. 123
D(E_F), states/eV/atom: 1.44
Size of the total moment, μB/cell: 0.0

---

Entry 20:
VASP calculation (PBE-GGA) on a geometry-optimized PmHf2Zr structure.

Cell: 4.652 4.614 4.614 Å, 90.00 90.00 90.00°
Positions (direct):
Hf: 0.000 0.000 0.500
Hf: 0.000 0.500 0.000
Zr: 0.500 0.000 0.000
Pm: 0.500 0.500 0.500

ΔH_f (0 K), kJ/mol of formula units: 83
Space-group type: No. 123
D(E_F), states/eV/atom: 1.35
Size of the total moment, μB/cell: 0.0

---

Entry 21:
VASP calculation (PBE-GGA) on a geometry-optimized PmHf2Zr structure.

Cell: 3.255 3.255 10.963 Å, 81.46 81.46 60.00°
Positions (direct):
Pm: 0.500 0.500 0.500
Hf: 0.745 0.745 0.766
Hf: 0.255 0.255 0.234
Zr: 0.000 0.000 0.000

ΔH_f (0 K), kJ/mol of formula units: 66
Space-group type: No. 166
D(E_F), states/eV/atom: 1.34
Size of the total moment, μB/cell: 0.0

---

Entry 22:
VASP calculation (PBE-GGA) on a geometry-optimized Pm2HfZr structure.

Cell: 3.302 3.302 11.932 Å, 82.05 82.05 60.00°
Positions (direct):
Pm: 0.089 0.089 0.732
Pm: 0.911 0.911 0.268
Hf: 0.000 0.000 0.000
Zr: 0.500 0.500 0.500

ΔH_f (0 K), kJ/mol of formula units: 149
Space-group type: No. 166
D(E_F), states/eV/atom: 1.06
Size of the total moment, μB/cell: 0.0

---

Entry 23:
VASP calculation (PBE-GGA) on a geometry-optimized PmHfZr2 structure.

Cell: 3.278 3.278 10.963 Å, 81.40 81.40 60.00°
Positions (direct):
Hf: 0.667 0.667 0.999
Pm: 0.500 0.500 0.501
Zr: 0.077 0.077 0.768
Zr: 0.256 0.256 0.231

ΔH_f (0 K), kJ/mol of formula units: 48
Space-group type: No. 160
D(E_F), states/eV/atom: 1.49
Size of the total moment, μB/cell: 0.0

---

Entry 24:
VASP calculation (PBE-GGA) on a geometry-optimized PmHfZr2 structure.

Cell: 3.269 3.269 10.960 Å, 81.42 81.42 60.00°
Positions (direct):
Zr: 0.756 0.756 0.733
Zr: 0.244 0.244 0.267
Hf: 0.500 0.500 0.500
Pm: 0.000 0.000 0.000

ΔH_f (0 K), kJ/mol of formula units: 50
Space-group type: No. 166
D(E_F), states/eV/atom: 1.43
Size of the total moment, μB/cell: 0.0

---

Entry 25:
VASP calculation (PBE-GGA) on a geometry-optimized PmHf2Zr structure.

Cell: 3.784 3.784 7.065 Å, 90.00 90.00 90.00°
Positions (direct):
Hf: 0.000 0.000 0.792
Hf: 0.000 0.000 0.208
Pm: 0.500 0.500 0.500
Zr: 0.500 0.500 0.000

ΔH_f (0 K), kJ/mol of formula units: 66
Space-group type: No. 123
D(E_F), states/eV/atom: 1.25
Size of the total moment, μB/cell: 0.0

---

Entry 26:
VASP calculation (PBE-GGA) on a geometry-optimized Pr4Hf structure.

Cell: 5.807 5.807 5.807 Å, 90.00 90.00 90.00°
Positions (direct):
Pr: 0.500 0.500 0.000
Pr: 0.500 0.000 0.500
Pr: 0.000 0.500 0.500
Pr: 0.000 0.000 0.000
Hf: 0.500 0.500 0.500

ΔH_f (0 K), kJ/mol of formula units: 277
Space-group type: No. 221
D(E_F), states/eV/atom: 1.42
Size of the total moment, μB/cell: 0.0

---

Entry 27:
VASP calculation (PBE-GGA) on a geometry-optimized PrHf5 structure.

Cell: 4.557 4.541 7.325 Å, 108.06 90.00 90.00°
Positions (direct):
Pr: 0.000 0.000 0.000
Hf: 0.500 0.827 0.653
Hf: 0.500 0.173 0.347
Hf: 0.000 0.674 0.349
Hf: 0.000 0.326 0.651
Hf: 0.500 0.500 0.000

ΔH_f (0 K), kJ/mol of formula units: 108
Space-group type: No. 65
D(E_F), states/eV/atom: 1.34
Size of the total moment, μB/cell: 0.0

---

Entry 28:
VASP calculation (PBE-GGA) on a geometry-optimized PrHf2Pt2 structure.

Cell: 4.614 4.614 6.326 Å, 111.39 111.39 90.00°
Positions (direct):
Pr: 0.000 0.000 0.000
Pt: 0.376 0.376 0.753
Pt: 0.624 0.624 0.247
Hf: 0.250 0.750 0.500
Hf: 0.750 0.250 0.500

ΔH_f (0 K), kJ/mol of formula units: -455
Space-group type: No. 139
D(E_F), states/eV/atom: 0.50
Size of the total moment, μB/cell: 0.0

---

Entry 29:
VASP calculation (PBE-GGA) on a geometry-optimized PrHfScPt2 structure.

Cell: 4.568 4.568 6.367 Å, 111.02 111.02 90.00°
Positions (direct):
Hf: 0.250 0.750 0.500
Pt: 0.379 0.379 0.758
Pt: 0.621 0.621 0.242
Sc: 0.750 0.250 0.500
Pr: 0.000 0.000 0.000

ΔH_f (0 K), kJ/mol of formula units: -470
Space-group type: No. 119
D(E_F), states/eV/atom: 1.14
Size of the total moment, μB/cell: 0.0